# NaInCo2

An optimized crystal structure of NaInCo2 (PBE, the Alexandria database).

Properties
- Total energy: -3.737 eV/atom
- Formation energy from the elements: 0.83 eV per atom

abc: 7.2991 7.2991 5.8154
angles: 51.13 51.13 90.00
Element x y z (fractional)
1 Co 0.3750 0.3596 0.7500
2 Co 0.8750 0.8904 0.7500
3 Co 0.6404 0.1250 0.2500
4 Co 0.1096 0.6250 0.2500
5 In 0.0000 0.0000 0.0000
6 In 0.7500 0.2500 0.5000
7 Na 0.5000 0.5000 0.0000
8 Na 0.2500 0.7500 0.5000